The following is a PBE calculation of an optimized crystal structure of Ba4Te2ICl, from the Alexandria database.

a b c (Å): 8.4531 6.9412 8.4529
angles (deg): 65.76 48.48 65.76
Last column: nearest neighbours and their distance in Å.
Positions (direct):
1 Ba 0.0005 0.5004 0.9995  2 Te 3.44, 2 Cl 3.47, 2 I 3.47
2 Ba 0.2399 0.7601 0.2399  1 Cl 3.30, 4 Te 3.47, 1 I 3.58
3 Ba 0.5004 0.0005 0.4996  2 Te 3.44, 2 Cl 3.47, 2 I 3.47
4 Ba 0.7601 0.2399 0.7601  1 Cl 3.30, 4 Te 3.47, 1 I 3.58
5 Te 0.2500 0.2500 0.2500  6 Ba 3.44-3.47
6 Te 0.7500 0.7500 0.7500  6 Ba 3.44-3.47
7 I 0.5005 0.5005 0.4995  6 Ba 3.47-3.58
8 Cl 0.0003 0.0003 0.9997  6 Ba 3.30-3.47

Computed properties:
As for the crystal system: orthorhombic. As for the space group: No. 42. The formation energy from raw total energies comes out at -1.6683 eV per atom. The density of states at the Fermi level comes out at 2.85 states/eV per cell.

***

The following is a PBE calculation of an optimized crystal structure of BaTlICl2, from the Alexandria database.

a b c (Å): 8.7617 5.2414 10.3463
angles (deg): 90.00 109.61 90.00
Last column: nearest neighbours and their distance in Å.
Positions (direct):
1 Ba 0.2472 0.2500 0.4360  4 Cl 3.08-3.15
2 Ba 0.7528 0.7500 0.5640  4 Cl 3.08-3.15
3 Tl 0.2368 0.7500 0.0186  4 Cl 3.05-3.34
4 Tl 0.7632 0.2500 0.9814  4 Cl 3.05-3.34
5 I 0.1831 0.7500 0.6524  3 Ba 3.57-3.61, 1 Tl 3.66
6 I 0.8169 0.2500 0.3476  3 Ba 3.57-3.61, 1 Tl 3.66
7 Cl 0.1305 0.2500 0.1197  3 Tl 3.05-3.08, 1 Ba 3.08
8 Cl 0.3970 0.7500 0.3604  3 Ba 3.12-3.15, 1 Tl 3.34
9 Cl 0.6030 0.2500 0.6396  3 Ba 3.12-3.15, 1 Tl 3.34
10 Cl 0.8695 0.7500 0.8803  3 Tl 3.05-3.08, 1 Ba 3.08

Computed properties:
As for the crystal system: monoclinic. As for the space group: No. 11. The formation energy from raw total energies comes out at -1.7095 eV per atom. The density of states at the Fermi level comes out at 0.00 states/eV per cell.

***

The following is a PBE calculation of an optimized crystal structure of BaTlI2Cl, from the Alexandria database.

a b c (Å): 6.7864 6.7864 5.8947
angles (deg): 90.00 90.00 90.00
Last column: nearest neighbours and their distance in Å.
Positions (direct):
1 Ba 0.0000 0.0000 0.0000  2 Cl 2.95
2 Tl 0.5000 0.5000 0.5000  8 I 4.49, 4 Cl 4.80
3 I 0.0000 0.5000 0.0000  2 Ba 3.39
4 I 0.5000 0.0000 0.0000  2 Ba 3.39
5 Cl 0.0000 0.0000 0.5000  2 Ba 2.95

Computed properties:
As for the crystal system: tetragonal. As for the space group: No. 123. The formation energy from raw total energies comes out at -1.3570 eV per atom. The density of states at the Fermi level comes out at 0.00 states/eV per cell.

***

The following is a PBE calculation of an optimized crystal structure of Ba7In4Cl, from the Alexandria database.

a b c (Å): 9.6928 9.6928 9.5680
angles (deg): 103.13 103.13 36.77
Last column: nearest neighbours and their distance in Å.
Positions (direct):
1 Ba 0.0000 0.0000 0.0000  2 Cl 3.06, 2 In 3.38
2 Ba 0.1986 0.1986 0.6238  4 In 3.41-3.81
3 Ba 0.3426 0.3426 0.0843  1 Cl 3.19
4 Ba 0.4212 0.4212 0.6442  1 Cl 3.37, 2 In 3.53
5 Ba 0.5788 0.5788 0.3558  1 Cl 3.37, 2 In 3.53
6 Ba 0.6574 0.6574 0.9157  1 Cl 3.19
7 Ba 0.8014 0.8014 0.3762  4 In 3.41-3.81
8 In 0.0183 0.0183 0.6566  1 In 2.91
9 In 0.1817 0.1817 0.2398  7 Ba 3.57-3.89
10 In 0.8183 0.8183 0.7602  7 Ba 3.57-3.89
11 In 0.9817 0.9817 0.3434  1 In 2.91
12 Cl 0.5000 0.5000 0.0000  6 Ba 3.06-3.37

Computed properties:
As for the crystal system: monoclinic. As for the space group: No. 12. The formation energy from raw total energies comes out at -0.5753 eV per atom. The density of states at the Fermi level comes out at 9.48 states/eV per cell.

***

The following is a PBE calculation of an optimized crystal structure of Ba12In3Cl5, from the Alexandria database.

a b c (Å): 17.0658 17.0658 17.0658
angles (deg): 109.47 109.47 109.47
Last column: nearest neighbours and their distance in Å.
Positions (direct):
1 Ba 0.0421 0.2205 0.1294  2 Cl 3.04-3.34
2 Ba 0.0421 0.3216 0.9126  2 Cl 3.04-3.34
3 Ba 0.0874 0.6294 0.4090  2 Cl 3.04-3.34
4 Ba 0.0874 0.9579 0.6784  2 Cl 3.04-3.34
5 Ba 0.0910 0.7205 0.6784  2 Cl 3.04-3.34
6 Ba 0.0910 0.8706 0.4126  2 Cl 3.04-3.34
7 Ba 0.1294 0.0421 0.2205  2 Cl 3.04-3.34
8 Ba 0.1294 0.5874 0.9090  2 Cl 3.04-3.34
9 Ba 0.1784 0.2205 0.5910  2 Cl 3.04-3.34
10 Ba 0.1784 0.4579 0.5874  2 Cl 3.04-3.34
11 Ba 0.2205 0.1294 0.0421  2 Cl 3.04-3.34
12 Ba 0.2205 0.5910 0.1784  2 Cl 3.04-3.34
13 Ba 0.2795 0.3216 0.9090  2 Cl 3.04-3.34
14 Ba 0.2795 0.4579 0.3706  2 Cl 3.04-3.34
15 Ba 0.3216 0.9090 0.2795  2 Cl 3.04-3.34
16 Ba 0.3216 0.9126 0.0421  2 Cl 3.04-3.34
17 Ba 0.3706 0.2795 0.4579  2 Cl 3.04-3.34
18 Ba 0.3706 0.5910 0.9126  2 Cl 3.04-3.34
19 Ba 0.4090 0.0874 0.6294  2 Cl 3.04-3.34
20 Ba 0.4090 0.8216 0.7795  2 Cl 3.04-3.34
21 Ba 0.4126 0.0910 0.8706  2 Cl 3.04-3.34
22 Ba 0.4126 0.8216 0.5421  2 Cl 3.04-3.34
23 Ba 0.4579 0.3706 0.2795  2 Cl 3.04-3.34
24 Ba 0.4579 0.5874 0.1784  2 Cl 3.04-3.34
25 Ba 0.5421 0.4126 0.8216  2 Cl 3.04-3.34
26 Ba 0.5421 0.6294 0.7205  2 Cl 3.04-3.34
27 Ba 0.5874 0.1784 0.4579  2 Cl 3.04-3.34
28 Ba 0.5874 0.9090 0.1294  2 Cl 3.04-3.34
29 Ba 0.5910 0.1784 0.2205  2 Cl 3.04-3.34
30 Ba 0.5910 0.9126 0.3706  2 Cl 3.04-3.34
31 Ba 0.6294 0.4090 0.0874  2 Cl 3.04-3.34
32 Ba 0.6294 0.7205 0.5421  2 Cl 3.04-3.34
33 Ba 0.6784 0.0874 0.9579  2 Cl 3.04-3.34
34 Ba 0.6784 0.0910 0.7205  2 Cl 3.04-3.34
35 Ba 0.7205 0.5421 0.6294  2 Cl 3.04-3.34
36 Ba 0.7205 0.6784 0.0910  2 Cl 3.04-3.34
37 Ba 0.7795 0.4090 0.8216  2 Cl 3.04-3.34
38 Ba 0.7795 0.8706 0.9579  2 Cl 3.04-3.34
39 Ba 0.8216 0.5421 0.4126  2 Cl 3.04-3.34
40 Ba 0.8216 0.7795 0.4090  2 Cl 3.04-3.34
41 Ba 0.8706 0.4126 0.0910  2 Cl 3.04-3.34
42 Ba 0.8706 0.9579 0.7795  2 Cl 3.04-3.34
43 Ba 0.9090 0.1294 0.5874  2 Cl 3.04-3.34
44 Ba 0.9090 0.2795 0.3216  2 Cl 3.04-3.34
45 Ba 0.9126 0.0421 0.3216  2 Cl 3.04-3.34
46 Ba 0.9126 0.3706 0.5910  2 Cl 3.04-3.34
47 Ba 0.9579 0.6784 0.0874  2 Cl 3.04-3.34
48 Ba 0.9579 0.7795 0.8706  2 Cl 3.04-3.34
49 In 0.1250 0.2500 0.3750  8 Ba 3.69-3.74
50 In 0.1250 0.3750 0.7500  8 Ba 3.69-3.74
51 In 0.2500 0.3750 0.1250  8 Ba 3.69-3.74
52 In 0.2500 0.8750 0.6250  8 Ba 3.69-3.74
53 In 0.3750 0.1250 0.2500  8 Ba 3.69-3.74
54 In 0.3750 0.7500 0.1250  8 Ba 3.69-3.74
55 In 0.6250 0.2500 0.8750  8 Ba 3.69-3.74
56 In 0.6250 0.8750 0.7500  8 Ba 3.69-3.74
57 In 0.7500 0.1250 0.3750  8 Ba 3.69-3.74
58 In 0.7500 0.6250 0.8750  8 Ba 3.69-3.74
59 In 0.8750 0.6250 0.2500  8 Ba 3.69-3.74
60 In 0.8750 0.7500 0.6250  8 Ba 3.69-3.74
61 Cl 0.0000 0.0000 0.0000  6 Ba 3.34
62 Cl 0.0000 0.0000 0.5000  6 Ba 3.34
63 Cl 0.0000 0.5000 0.0000  6 Ba 3.34
64 Cl 0.0000 0.5000 0.5000  6 Ba 3.34
65 Cl 0.1250 0.7500 0.8750  4 Ba 3.04
66 Cl 0.1250 0.8750 0.2500  4 Ba 3.04
67 Cl 0.2500 0.1250 0.8750  4 Ba 3.04
68 Cl 0.2500 0.6250 0.3750  4 Ba 3.04
69 Cl 0.3750 0.2500 0.6250  4 Ba 3.04
70 Cl 0.3750 0.6250 0.7500  4 Ba 3.04
71 Cl 0.5000 0.0000 0.0000  6 Ba 3.34
72 Cl 0.5000 0.0000 0.5000  6 Ba 3.34
73 Cl 0.5000 0.5000 0.0000  6 Ba 3.34
74 Cl 0.5000 0.5000 0.5000  6 Ba 3.34
75 Cl 0.6250 0.3750 0.2500  4 Ba 3.04
76 Cl 0.6250 0.7500 0.3750  4 Ba 3.04
77 Cl 0.7500 0.3750 0.6250  4 Ba 3.04
78 Cl 0.7500 0.8750 0.1250  4 Ba 3.04
79 Cl 0.8750 0.1250 0.7500  4 Ba 3.04
80 Cl 0.8750 0.2500 0.1250  4 Ba 3.04

Computed properties:
As for the crystal system: cubic. As for the space group: No. 230. The formation energy from raw total energies comes out at -0.9826 eV per atom. The density of states at the Fermi level comes out at 57.45 states/eV per cell.

***

The following is a PBE calculation of an optimized crystal structure of BaInCl, from the Alexandria database.

a b c (Å): 8.0096 8.0096 8.0096
angles (deg): 90.00 90.00 90.00
Last column: nearest neighbours and their distance in Å.
Positions (direct):
1 Ba 0.0000 0.0000 0.0000  4 In 3.47, 4 Cl 3.47
2 Ba 0.0000 0.5000 0.5000  4 In 3.47, 4 Cl 3.47
3 Ba 0.5000 0.0000 0.5000  4 In 3.47, 4 Cl 3.47
4 Ba 0.5000 0.5000 0.0000  4 In 3.47, 4 Cl 3.47
5 In 0.2500 0.2500 0.7500  4 Ba 3.47
6 In 0.2500 0.7500 0.2500  4 Ba 3.47
7 In 0.7500 0.2500 0.2500  4 Ba 3.47
8 In 0.7500 0.7500 0.7500  4 Ba 3.47
9 Cl 0.2500 0.2500 0.2500  4 Ba 3.47
10 Cl 0.2500 0.7500 0.7500  4 Ba 3.47
11 Cl 0.7500 0.2500 0.7500  4 Ba 3.47
12 Cl 0.7500 0.7500 0.2500  4 Ba 3.47

Computed properties:
As for the crystal system: cubic. As for the space group: No. 216. The formation energy from raw total energies comes out at -0.6039 eV per atom. The relative energy among the computed polymorphs comes out at 1.07 eV per formula unit. The density of states at the Fermi level comes out at 16.72 states/eV per cell.

***

The following is a PBE calculation of an optimized crystal structure of Ba2InCl, from the Alexandria database.

a b c (Å): 8.7036 8.7036 9.4787
angles (deg): 90.00 90.00 90.00
Last column: nearest neighbours and their distance in Å.
Positions (direct):
1 Ba 0.2165 0.2500 0.1250  2 Cl 3.11
2 Ba 0.2500 0.7165 0.3750  2 Cl 3.11
3 Ba 0.2500 0.7835 0.8750  2 Cl 3.11
4 Ba 0.2835 0.2500 0.6250  2 Cl 3.11
5 Ba 0.7165 0.7500 0.6250  2 Cl 3.11
6 Ba 0.7500 0.2165 0.8750  2 Cl 3.11
7 Ba 0.7500 0.2835 0.3750  2 Cl 3.11
8 Ba 0.7835 0.7500 0.1250  2 Cl 3.11
9 In 0.0000 0.0000 0.5000  4 Ba 3.50
10 In 0.0000 0.5000 0.7500  4 Ba 3.50
11 In 0.5000 0.0000 0.2500  4 Ba 3.50
12 In 0.5000 0.5000 0.0000  4 Ba 3.50
13 Cl 0.0000 0.0000 0.0000  4 Ba 3.11
14 Cl 0.0000 0.5000 0.2500  4 Ba 3.11
15 Cl 0.5000 0.0000 0.7500  4 Ba 3.11
16 Cl 0.5000 0.5000 0.5000  4 Ba 3.11

Computed properties:
As for the crystal system: tetragonal. As for the space group: No. 122. The formation energy from raw total energies comes out at -0.9259 eV per atom. The relative energy among the computed polymorphs comes out at 0.72 eV per formula unit. The density of states at the Fermi level comes out at 4.09 states/eV per cell.

***

The following is a PBE calculation of an optimized crystal structure of Ba2InCl, from the Alexandria database.

a b c (Å): 4.6236 4.6236 26.4685
angles (deg): 90.00 90.00 120.00
Last column: nearest neighbours and their distance in Å.
Positions (direct):
1 Ba 0.0000 0.0000 0.2455  3 Cl 3.39, 3 In 3.54
2 Ba 0.0000 0.0000 0.7545  3 Cl 3.39, 3 In 3.54
3 Ba 0.3333 0.6667 0.4211  3 Cl 3.39, 3 In 3.54
4 Ba 0.3333 0.6667 0.9122  3 Cl 3.39, 3 In 3.54
5 Ba 0.6667 0.3333 0.0878  3 Cl 3.39, 3 In 3.54
6 Ba 0.6667 0.3333 0.5789  3 Cl 3.39, 3 In 3.54
7 In 0.0000 0.0000 0.0000  6 Ba 3.54
8 In 0.3333 0.6667 0.6667  6 Ba 3.54
9 In 0.6667 0.3333 0.3333  6 Ba 3.54
10 Cl 0.0000 0.0000 0.5000  6 Ba 3.39
11 Cl 0.3333 0.6667 0.1667  6 Ba 3.39
12 Cl 0.6667 0.3333 0.8333  6 Ba 3.39

Computed properties:
As for the crystal system: trigonal. As for the space group: No. 166. The formation energy from raw total energies comes out at -1.0609 eV per atom. The relative energy among the computed polymorphs comes out at 0.18 eV per formula unit. The density of states at the Fermi level comes out at 8.69 states/eV per cell.

***

The following is a PBE calculation of an optimized crystal structure of Ba3In5Cl12, from the Alexandria database.

a b c (Å): 15.5421 15.5421 15.5421
angles (deg): 109.47 109.47 109.47
Last column: nearest neighbours and their distance in Å.
Positions (direct):
1 Ba 0.1250 0.2500 0.3750  8 Cl 3.25-3.36
2 Ba 0.1250 0.3750 0.7500  8 Cl 3.25-3.36
3 Ba 0.2500 0.3750 0.1250  8 Cl 3.25-3.36
4 Ba 0.2500 0.8750 0.6250  8 Cl 3.25-3.36
5 Ba 0.3750 0.1250 0.2500  8 Cl 3.25-3.36
6 Ba 0.3750 0.7500 0.1250  8 Cl 3.25-3.36
7 Ba 0.6250 0.2500 0.8750  8 Cl 3.25-3.36
8 Ba 0.6250 0.8750 0.7500  8 Cl 3.25-3.36
9 Ba 0.7500 0.1250 0.3750  8 Cl 3.25-3.36
10 Ba 0.7500 0.6250 0.8750  8 Cl 3.25-3.36
11 Ba 0.8750 0.6250 0.2500  8 Cl 3.25-3.36
12 Ba 0.8750 0.7500 0.6250  8 Cl 3.25-3.36
13 In 0.0000 0.0000 0.0000  6 Cl 3.00
14 In 0.0000 0.0000 0.5000  6 Cl 3.00
15 In 0.0000 0.5000 0.0000  6 Cl 3.00
16 In 0.0000 0.5000 0.5000  6 Cl 3.00
17 In 0.1250 0.7500 0.8750  4 Cl 2.95
18 In 0.1250 0.8750 0.2500  4 Cl 2.95
19 In 0.2500 0.1250 0.8750  4 Cl 2.95
20 In 0.2500 0.6250 0.3750  4 Cl 2.95
21 In 0.3750 0.2500 0.6250  4 Cl 2.95
22 In 0.3750 0.6250 0.7500  4 Cl 2.95
23 In 0.5000 0.0000 0.0000  6 Cl 3.00
24 In 0.5000 0.0000 0.5000  6 Cl 3.00
25 In 0.5000 0.5000 0.0000  6 Cl 3.00
26 In 0.5000 0.5000 0.5000  6 Cl 3.00
27 In 0.6250 0.3750 0.2500  4 Cl 2.95
28 In 0.6250 0.7500 0.3750  4 Cl 2.95
29 In 0.7500 0.3750 0.6250  4 Cl 2.95
30 In 0.7500 0.8750 0.1250  4 Cl 2.95
31 In 0.8750 0.1250 0.7500  4 Cl 2.95
32 In 0.8750 0.2500 0.1250  4 Cl 2.95
33 Cl 0.0556 0.2217 0.1342  2 In 2.95-3.00, 1 Ba 3.25
34 Cl 0.0556 0.3339 0.9214  2 In 2.95-3.00, 1 Ba 3.25
35 Cl 0.0786 0.6342 0.4125  2 In 2.95-3.00, 1 Ba 3.25
36 Cl 0.0786 0.9444 0.6661  2 In 2.95-3.00, 1 Ba 3.25
37 Cl 0.0875 0.7217 0.6661  2 In 2.95-3.00, 1 Ba 3.25
38 Cl 0.0875 0.8658 0.4214  2 In 2.95-3.00, 1 Ba 3.25
39 Cl 0.1342 0.0556 0.2217  2 In 2.95-3.00, 1 Ba 3.25
40 Cl 0.1342 0.5786 0.9125  2 In 2.95-3.00, 1 Ba 3.25
41 Cl 0.1661 0.2217 0.5875  2 In 2.95-3.00, 1 Ba 3.25
42 Cl 0.1661 0.4444 0.5786  2 In 2.95-3.00, 1 Ba 3.25
43 Cl 0.2217 0.1342 0.0556  2 In 2.95-3.00, 1 Ba 3.25
44 Cl 0.2217 0.5875 0.1661  2 In 2.95-3.00, 1 Ba 3.25
45 Cl 0.2783 0.3339 0.9125  2 In 2.95-3.00, 1 Ba 3.25
46 Cl 0.2783 0.4444 0.3658  2 In 2.95-3.00, 1 Ba 3.25
47 Cl 0.3339 0.9125 0.2783  2 In 2.95-3.00, 1 Ba 3.25
48 Cl 0.3339 0.9214 0.0556  2 In 2.95-3.00, 1 Ba 3.25
49 Cl 0.3658 0.2783 0.4444  2 In 2.95-3.00, 1 Ba 3.25
50 Cl 0.3658 0.5875 0.9214  2 In 2.95-3.00, 1 Ba 3.25
51 Cl 0.4125 0.0786 0.6342  2 In 2.95-3.00, 1 Ba 3.25
52 Cl 0.4125 0.8339 0.7783  2 In 2.95-3.00, 1 Ba 3.25
53 Cl 0.4214 0.0875 0.8658  2 In 2.95-3.00, 1 Ba 3.25
54 Cl 0.4214 0.8339 0.5556  2 In 2.95-3.00, 1 Ba 3.25
55 Cl 0.4444 0.3658 0.2783  2 In 2.95-3.00, 1 Ba 3.25
56 Cl 0.4444 0.5786 0.1661  2 In 2.95-3.00, 1 Ba 3.25
57 Cl 0.5556 0.4214 0.8339  2 In 2.95-3.00, 1 Ba 3.25
58 Cl 0.5556 0.6342 0.7217  2 In 2.95-3.00, 1 Ba 3.25
59 Cl 0.5786 0.1661 0.4444  2 In 2.95-3.00, 1 Ba 3.25
60 Cl 0.5786 0.9125 0.1342  2 In 2.95-3.00, 1 Ba 3.25
61 Cl 0.5875 0.1661 0.2217  2 In 2.95-3.00, 1 Ba 3.25
62 Cl 0.5875 0.9214 0.3658  2 In 2.95-3.00, 1 Ba 3.25
63 Cl 0.6342 0.4125 0.0786  2 In 2.95-3.00, 1 Ba 3.25
64 Cl 0.6342 0.7217 0.5556  2 In 2.95-3.00, 1 Ba 3.25
65 Cl 0.6661 0.0786 0.9444  2 In 2.95-3.00, 1 Ba 3.25
66 Cl 0.6661 0.0875 0.7217  2 In 2.95-3.00, 1 Ba 3.25
67 Cl 0.7217 0.5556 0.6342  2 In 2.95-3.00, 1 Ba 3.25
68 Cl 0.7217 0.6661 0.0875  2 In 2.95-3.00, 1 Ba 3.25
69 Cl 0.7783 0.4125 0.8339  2 In 2.95-3.00, 1 Ba 3.25
70 Cl 0.7783 0.8658 0.9444  2 In 2.95-3.00, 1 Ba 3.25
71 Cl 0.8339 0.5556 0.4214  2 In 2.95-3.00, 1 Ba 3.25
72 Cl 0.8339 0.7783 0.4125  2 In 2.95-3.00, 1 Ba 3.25
73 Cl 0.8658 0.4214 0.0875  2 In 2.95-3.00, 1 Ba 3.25
74 Cl 0.8658 0.9444 0.7783  2 In 2.95-3.00, 1 Ba 3.25
75 Cl 0.9125 0.1342 0.5786  2 In 2.95-3.00, 1 Ba 3.25
76 Cl 0.9125 0.2783 0.3339  2 In 2.95-3.00, 1 Ba 3.25
77 Cl 0.9214 0.0556 0.3339  2 In 2.95-3.00, 1 Ba 3.25
78 Cl 0.9214 0.3658 0.5875  2 In 2.95-3.00, 1 Ba 3.25
79 Cl 0.9444 0.6661 0.0786  2 In 2.95-3.00, 1 Ba 3.25
80 Cl 0.9444 0.7783 0.8658  2 In 2.95-3.00, 1 Ba 3.25

Computed properties:
As for the crystal system: cubic. As for the space group: No. 230. The formation energy from raw total energies comes out at -1.5035 eV per atom. The density of states at the Fermi level comes out at 30.77 states/eV per cell.